# 1
HfAl2Tc | PBE | optimized geometry

The structure in CIF format:
```
data_HfAl2Tc
_chemical_formula_sum 'Hf4 Al8 Tc4'
_cell_length_a 7.241
_cell_length_b 3.485
_cell_length_c 10.692
_cell_angle_alpha 90.00
_cell_angle_beta 90.00
_cell_angle_gamma 90.00
_space_group_name_H-M_alt 'P n m a'
_space_group_IT_number 62
loop_
_space_group_symop_operation_xyz
'x,y,z'
'-x,-y,-z'
'-x+1/2,-y,z+1/2'
'x+1/2,y,-z+1/2'
'x+1/2,-y+1/2,-z+1/2'
'-x+1/2,y+1/2,z+1/2'
'-x,y+1/2,-z'
'x,-y+1/2,z'
loop_
_atom_site_label
_atom_site_type_symbol
_atom_site_fract_x
_atom_site_fract_y
_atom_site_fract_z
_atom_site_occupancy
Hf1 Hf 0.238 0.250 0.197 1
Al1 Al 0.047 0.750 0.354 1
Al2 Al 0.240 0.250 0.485 1
Tc1 Tc 0.053 0.250 0.888 1
```

Values from the calculation:
- E_tot (eV per cell) = -116.615
- energy above the lowest structure with this stoichiometry (meV per atom) = 26.7
- formation energy (eV per atom) = -0.337
- DOS at the Fermi energy (states/eV/cell) = 12.506

=====

# 2
Hf6AlTc | PBE | optimized geometry

The structure in CIF format:
```
data_Hf6AlTc
_chemical_formula_sum 'Hf6 Al1 Tc1'
_cell_length_a 6.036
_cell_length_b 6.071
_cell_length_c 6.840
_cell_angle_alpha 90.85
_cell_angle_beta 115.79
_cell_angle_gamma 119.44
_space_group_name_H-M_alt 'P -1'
_space_group_IT_number 2
loop_
_space_group_symop_operation_xyz
'x,y,z'
'-x,-y,-z'
loop_
_atom_site_label
_atom_site_type_symbol
_atom_site_fract_x
_atom_site_fract_y
_atom_site_fract_z
_atom_site_occupancy
Hf1 Hf 0.023 0.059 0.256 1
Hf2 Hf 0.294 0.734 0.256 1
Hf3 Hf 0.296 0.532 0.744 1
Al1 Al 0.500 0.000 0.000 1
Tc1 Tc 0.500 0.500 0.500 1
```

Values from the calculation:
- E_tot (eV per cell) = -70.545
- formation energy (eV per atom) = 0.410
- DOS at the Fermi energy (states/eV/cell) = 6.449

=====

# 3
HfAl3Tc | PBE | optimized geometry

The structure in CIF format:
```
data_HfAl3Tc
_chemical_formula_sum 'Hf1 Al3 Tc1'
_cell_length_a 4.611
_cell_length_b 4.611
_cell_length_c 4.611
_cell_angle_alpha 90.00
_cell_angle_beta 90.00
_cell_angle_gamma 90.00
_space_group_name_H-M_alt 'P m -3 m'
_space_group_IT_number 221
_space_group_name_Hall '-P 4 2 3'
loop_
_atom_site_label
_atom_site_type_symbol
_atom_site_fract_x
_atom_site_fract_y
_atom_site_fract_z
_atom_site_occupancy
Hf1 Hf 0.000 0.000 0.000 1
Al1 Al 0.000 0.500 0.500 1
Tc1 Tc 0.500 0.500 0.500 1
```

Values from the calculation:
- E_tot (eV per cell) = -30.168
- energy above the lowest structure with this stoichiometry (meV per atom) = 55.5
- formation energy (eV per atom) = 0.276
- DOS at the Fermi energy (states/eV/cell) = 2.065

=====

# 4
HfAl10Tc2 | PBE | optimized geometry

The structure in CIF format:
```
data_HfAl10Tc2
_chemical_formula_sum 'Hf4 Al40 Tc8'
_cell_length_a 9.077
_cell_length_b 10.231
_cell_length_c 9.067
_cell_angle_alpha 90.00
_cell_angle_beta 90.00
_cell_angle_gamma 90.00
_space_group_name_H-M_alt 'C m c m'
_space_group_IT_number 63
_space_group_name_Hall '-C 2c 2'
loop_
_atom_site_label
_atom_site_type_symbol
_atom_site_fract_x
_atom_site_fract_y
_atom_site_fract_z
_atom_site_occupancy
Hf1 Hf 0.000 0.137 0.250 1
Al1 Al 0.000 0.142 0.595 1
Al2 Al 0.000 0.373 0.038 1
Al3 Al 0.159 0.369 0.750 1
Al4 Al 0.216 0.365 0.250 1
Al5 Al 0.228 0.000 0.000 1
Tc1 Tc 0.250 0.250 0.000 1
```

Values from the calculation:
- E_tot (eV per cell) = -290.186
- formation energy (eV per atom) = -0.341
- DOS at the Fermi energy (states/eV/cell) = 28.933

=====

# 5
Hf3Al4Tc | PBE | optimized geometry

The structure in CIF format:
```
data_Hf3Al4Tc
_chemical_formula_sum 'Hf6 Al8 Tc2'
_cell_length_a 2.881
_cell_length_b 5.477
_cell_length_c 18.709
_cell_angle_alpha 90.00
_cell_angle_beta 90.00
_cell_angle_gamma 90.00
_space_group_name_H-M_alt 'I m m m'
_space_group_IT_number 71
_space_group_name_Hall '-I 2 2'
loop_
_atom_site_label
_atom_site_type_symbol
_atom_site_fract_x
_atom_site_fract_y
_atom_site_fract_z
_atom_site_occupancy
Hf1 Hf 0.000 0.000 0.000 1
Hf2 Hf 0.000 0.500 0.243 1
Al1 Al 0.000 0.247 0.380 1
Tc1 Tc 0.000 0.000 0.500 1
```

Values from the calculation:
- E_tot (eV per cell) = -112.268
- formation energy (eV per atom) = -0.117
- DOS at the Fermi energy (states/eV/cell) = 12.055

=====

# 6
HfAl2Tc | PBE | optimized geometry

The structure in CIF format:
```
data_HfAl2Tc
_chemical_formula_sum 'Hf4 Al8 Tc4'
_cell_length_a 3.846
_cell_length_b 3.846
_cell_length_c 19.529
_cell_angle_alpha 90.00
_cell_angle_beta 90.00
_cell_angle_gamma 90.00
_space_group_name_H-M_alt 'I -4 2 d'
_space_group_IT_number 122
_space_group_name_Hall 'I -4 2bw'
loop_
_atom_site_label
_atom_site_type_symbol
_atom_site_fract_x
_atom_site_fract_y
_atom_site_fract_z
_atom_site_occupancy
Hf1 Hf 0.000 0.000 0.000 1
Al1 Al 0.238 0.250 0.625 1
Tc1 Tc 0.000 0.000 0.500 1
```

Values from the calculation:
- E_tot (eV per cell) = -110.345
- energy above the lowest structure with this stoichiometry (meV per atom) = 418.6
- formation energy (eV per atom) = 0.055
- DOS at the Fermi energy (states/eV/cell) = 10.054

=====

# 7
Hf3Al3Tc | PBE | optimized geometry

The structure in CIF format:
```
data_Hf3Al3Tc
_chemical_formula_sum 'Hf12 Al12 Tc4'
_cell_length_a 3.319
_cell_length_b 10.726
_cell_length_c 14.398
_cell_angle_alpha 90.00
_cell_angle_beta 90.00
_cell_angle_gamma 90.00
_space_group_name_H-M_alt 'C m c m'
_space_group_IT_number 63
_space_group_name_Hall '-C 2c 2'
loop_
_atom_site_label
_atom_site_type_symbol
_atom_site_fract_x
_atom_site_fract_y
_atom_site_fract_z
_atom_site_occupancy
Hf1 Hf 0.000 0.005 0.250 1
Hf2 Hf 0.000 0.326 0.089 1
Al1 Al 0.000 0.256 0.750 1
Al2 Al 0.000 0.397 0.607 1
Tc1 Tc 0.000 0.000 0.000 1
```

Values from the calculation:
- E_tot (eV per cell) = -217.817
- formation energy (eV per atom) = -0.429
- DOS at the Fermi energy (states/eV/cell) = 19.661

=====

# 8
Hf2Al2Tc | PBE | optimized geometry

The structure in CIF format:
```
data_Hf2Al2Tc
_chemical_formula_sum 'Hf4 Al4 Tc2'
_cell_length_a 6.858
_cell_length_b 6.858
_cell_length_c 3.790
_cell_angle_alpha 90.00
_cell_angle_beta 90.00
_cell_angle_gamma 90.00
_space_group_name_H-M_alt 'P 4/m b m'
_space_group_IT_number 127
_space_group_name_Hall '-P 4 2ab'
loop_
_atom_site_label
_atom_site_type_symbol
_atom_site_fract_x
_atom_site_fract_y
_atom_site_fract_z
_atom_site_occupancy
Hf1 Hf 0.173 0.327 0.000 1
Al1 Al 0.131 0.631 0.500 1
Tc1 Tc 0.000 0.000 0.500 1
```

Values from the calculation:
- E_tot (eV per cell) = -79.030
- formation energy (eV per atom) = -0.351
- DOS at the Fermi energy (states/eV/cell) = 3.532

=====

# 9
HfAlTc3 | PBE | optimized geometry

The structure in CIF format:
```
data_HfAlTc3
_chemical_formula_sum 'Hf1 Al1 Tc3'
_cell_length_a 4.749
_cell_length_b 4.749
_cell_length_c 4.749
_cell_angle_alpha 90.00
_cell_angle_beta 90.00
_cell_angle_gamma 90.00
_space_group_name_H-M_alt 'P m -3 m'
_space_group_IT_number 221
_space_group_name_Hall '-P 4 2 3'
loop_
_atom_site_label
_atom_site_type_symbol
_atom_site_fract_x
_atom_site_fract_y
_atom_site_fract_z
_atom_site_occupancy
Hf1 Hf 0.000 0.000 0.000 1
Al1 Al 0.500 0.500 0.500 1
Tc1 Tc 0.000 0.000 0.500 1
```

Values from the calculation:
- E_tot (eV per cell) = -36.107
- energy above the lowest structure with this stoichiometry (meV per atom) = 920.3
- formation energy (eV per atom) = 1.737
- DOS at the Fermi energy (states/eV/cell) = 6.995

=====

# 10
HfAlTc3 | PBE | optimized geometry

The structure in CIF format:
```
data_HfAlTc3
_chemical_formula_sum 'Hf1 Al1 Tc3'
_cell_length_a 4.468
_cell_length_b 4.468
_cell_length_c 4.468
_cell_angle_alpha 90.00
_cell_angle_beta 90.00
_cell_angle_gamma 90.00
_space_group_name_H-M_alt 'P m -3 m'
_space_group_IT_number 221
_space_group_name_Hall '-P 4 2 3'
loop_
_atom_site_label
_atom_site_type_symbol
_atom_site_fract_x
_atom_site_fract_y
_atom_site_fract_z
_atom_site_occupancy
Hf1 Hf 0.000 0.000 0.000 1
Al1 Al 0.500 0.500 0.500 1
Tc1 Tc 0.000 0.500 0.500 1
```

Values from the calculation:
- E_tot (eV per cell) = -40.708
- energy above the lowest structure with this stoichiometry (meV per atom) = 0.0
- formation energy (eV per atom) = 0.817
- DOS at the Fermi energy (states/eV/cell) = 5.880

=====

# 11
Hf2Al6Tc | PBE | optimized geometry

The structure in CIF format:
```
data_Hf2Al6Tc
_chemical_formula_sum 'Hf4 Al12 Tc2'
_cell_length_a 9.566
_cell_length_b 5.468
_cell_length_c 6.098
_cell_angle_alpha 90.00
_cell_angle_beta 102.57
_cell_angle_gamma 90.00
_space_group_name_H-M_alt 'C 1 2/m 1'
_space_group_IT_number 12
loop_
_space_group_symop_operation_xyz
'x,y,z'
'-x,-y,-z'
'-x,y,-z'
'x,-y,z'
'x+1/2,y+1/2,z'
'-x+1/2,-y+1/2,-z'
'-x+1/2,y+1/2,-z'
'x+1/2,-y+1/2,z'
loop_
_atom_site_label
_atom_site_type_symbol
_atom_site_fract_x
_atom_site_fract_y
_atom_site_fract_z
_atom_site_occupancy
Hf1 Hf 0.150 0.000 0.380 1
Al1 Al 0.127 0.241 0.828 1
Al2 Al 0.135 0.500 0.205 1
Tc1 Tc 0.000 0.500 0.500 1
```

Values from the calculation:
- E_tot (eV per cell) = -111.212
- formation energy (eV per atom) = -0.320
- DOS at the Fermi energy (states/eV/cell) = 8.912

=====

# 12
Hf4AlTc | PBE | optimized geometry

The structure in CIF format:
```
data_Hf4AlTc
_chemical_formula_sum 'Hf8 Al2 Tc2'
_cell_length_a 7.921
_cell_length_b 4.567
_cell_length_c 7.891
_cell_angle_alpha 90.00
_cell_angle_beta 109.47
_cell_angle_gamma 90.00
_space_group_name_H-M_alt 'C 1 2/m 1'
_space_group_IT_number 12
loop_
_space_group_symop_operation_xyz
'x,y,z'
'-x,-y,-z'
'-x,y,-z'
'x,-y,z'
'x+1/2,y+1/2,z'
'-x+1/2,-y+1/2,-z'
'-x+1/2,y+1/2,-z'
'x+1/2,-y+1/2,z'
loop_
_atom_site_label
_atom_site_type_symbol
_atom_site_fract_x
_atom_site_fract_y
_atom_site_fract_z
_atom_site_occupancy
Hf1 Hf 0.120 0.000 0.359 1
Hf2 Hf 0.129 0.500 0.888 1
Al1 Al 0.000 0.500 0.500 1
Tc1 Tc 0.000 0.000 0.000 1
```

Values from the calculation:
- E_tot (eV per cell) = -107.049
- energy above the lowest structure with this stoichiometry (meV per atom) = 354.0
- formation energy (eV per atom) = 0.066
- DOS at the Fermi energy (states/eV/cell) = 13.114